(1)
# CaSnSb2 PBE relaxed
# Magnetic moment ... 0.0 μB per formula unit
# Formation energy from raw total energies ... -0.31 eV per atom
data_CaSnSb2
_symmetry_space_group_name_H-M 'R -3 m'
_symmetry_Int_Tables_number 166
_symmetry_space_group_name_Hall '-R 3 2"'
_cell_length_a 4.2540
_cell_length_b 4.2540
_cell_length_c 23.7197
_cell_angle_alpha 90.00
_cell_angle_beta 90.00
_cell_angle_gamma 120.00
loop_
_atom_site_label
_atom_site_type_symbol
_atom_site_fract_x
_atom_site_fract_y
_atom_site_fract_z
Ca1 Ca 0.0000 0.0000 0.0000
Sn1 Sn 0.0000 0.0000 0.5000
Sb1 Sb 0.0000 0.0000 0.2425

=====

(2)
# Ba2AgHgAu6 PBE relaxed
# Total energy ... -30.630 eV per cell
# Magnetic moment ... 0.0 μB per formula unit
data_Ba2AgHgAu6
_symmetry_space_group_name_H-M 'P -1'
_symmetry_Int_Tables_number 2
_cell_length_a 5.5699
_cell_length_b 7.4279
_cell_length_c 7.5304
_cell_angle_alpha 82.77
_cell_angle_beta 68.32
_cell_angle_gamma 68.11
loop_
_symmetry_equiv_pos_as_xyz
'x,y,z'
'-x,-y,-z'
loop_
_atom_site_label
_atom_site_type_symbol
_atom_site_fract_x
_atom_site_fract_y
_atom_site_fract_z
Ba1 Ba 0.0431 0.2033 0.2100
Ag1 Ag 0.5000 0.0000 0.5000
Hg1 Hg 0.5000 0.5000 0.0000
Au1 Au 0.0033 0.2523 0.7415
Au2 Au 0.3372 0.4113 0.4151
Au3 Au 0.4982 0.7483 0.2575

=====

(3)
# AcPaRhAu PBE relaxed
# Total energy ... -102.238 eV per cell
# Magnetic moment ... 1.0 μB per formula unit
data_AcPaRhAu
_symmetry_space_group_name_H-M 'F -4 3 m'
_symmetry_Int_Tables_number 216
_symmetry_space_group_name_Hall 'F -4 2 3'
_cell_length_a 7.3364
_cell_length_b 7.3364
_cell_length_c 7.3364
_cell_angle_alpha 90.00
_cell_angle_beta 90.00
_cell_angle_gamma 90.00
loop_
_atom_site_label
_atom_site_type_symbol
_atom_site_fract_x
_atom_site_fract_y
_atom_site_fract_z
Ac1 Ac 0.0000 0.0000 0.0000
Pa1 Pa 0.0000 0.0000 0.5000
Rh1 Rh 0.2500 0.2500 0.7500
Au1 Au 0.2500 0.2500 0.2500

=====

(4)
# Rb2TeAuF6 PBE relaxed
# Magnetic moment ... 0.0 μB per formula unit
# Formation energy from raw total energies ... -1.90 eV per atom
data_Rb2TeAuF6
_symmetry_space_group_name_H-M 'I 4/m m m'
_symmetry_Int_Tables_number 139
_symmetry_space_group_name_Hall '-I 4 2'
_cell_length_a 6.9530
_cell_length_b 6.9530
_cell_length_c 9.4498
_cell_angle_alpha 90.00
_cell_angle_beta 90.00
_cell_angle_gamma 90.00
loop_
_atom_site_label
_atom_site_type_symbol
_atom_site_fract_x
_atom_site_fract_y
_atom_site_fract_z
Rb1 Rb 0.0000 0.5000 0.2500
Te1 Te 0.0000 0.0000 0.0000
Au1 Au 0.0000 0.0000 0.5000
F1 F 0.0000 0.0000 0.2230
F2 F 0.2129 0.2129 0.0000

=====

(5)
# Th2TlCoHg PBE relaxed
# Total energy ... -51.230 eV per cell
# Magnetic moment ... 0.0 μB per formula unit
data_Th2TlCoHg
_symmetry_space_group_name_H-M 'P 1 21/m 1'
_symmetry_Int_Tables_number 11
_cell_length_a 8.0895
_cell_length_b 3.9626
_cell_length_c 9.0346
_cell_angle_alpha 90.00
_cell_angle_beta 115.15
_cell_angle_gamma 90.00
loop_
_symmetry_equiv_pos_as_xyz
'x,y,z'
'-x,-y,-z'
'-x,y+1/2,-z'
'x,-y+1/2,z'
loop_
_atom_site_label
_atom_site_type_symbol
_atom_site_fract_x
_atom_site_fract_y
_atom_site_fract_z
Th1 Th 0.0398 0.2500 0.1883
Th2 Th 0.4297 0.7500 0.1410
Tl1 Tl 0.3489 0.7500 0.5043
Co1 Co 0.2190 0.2500 0.9598
Hg1 Hg 0.1353 0.2500 0.6254

=====

(6)
# Zr4BeOs3 PBE relaxed
# Total energy ... -75.052 eV per cell
# Magnetic moment ... 0.0 μB per formula unit
data_Zr4BeOs3
_symmetry_space_group_name_H-M 'P 4/m m m'
_symmetry_Int_Tables_number 123
_symmetry_space_group_name_Hall '-P 4 2'
_cell_length_a 3.2748
_cell_length_b 3.2748
_cell_length_c 12.9630
_cell_angle_alpha 90.00
_cell_angle_beta 90.00
_cell_angle_gamma 90.00
loop_
_atom_site_label
_atom_site_type_symbol
_atom_site_fract_x
_atom_site_fract_y
_atom_site_fract_z
Zr1 Zr 0.0000 0.0000 0.1185
Zr2 Zr 0.0000 0.0000 0.3726
Be1 Be 0.5000 0.5000 0.0000
Os1 Os 0.5000 0.5000 0.2438
Os2 Os 0.5000 0.5000 0.5000

=====

- Look up the magnetic moment of the second one.
  0.0 μB per formula unit

=====

- Which value of magnetic moment does entry 5 give?
  0.0 μB per formula unit

=====

- Which value of magnetic moment does entry 1 give?
  0.0 μB per formula unit